A plane-wave DFT calculation with GGA-PBE was carried out for crystalline Tl3Sn2Sb at its relaxed geometry.

Values from the calculation:
- SG = No. 63
- crystal system = orthorhombic
- formation energy (no corrections) (meV/atom) = 28
- volume (Å³/cell) = 376

Cell: 6.5573 7.5991 7.5991 Å, 96.90 90.00 90.00°
Last column: nearest neighbours and their distance in Å.
Positions (direct):
Tl (0.7500, 0.0702, 0.9298)  1 Sb 3.28, 4 Sn 3.47, 2 Tl 3.65
Tl (0.2500, 0.9298, 0.0702)  1 Sb 3.28, 4 Sn 3.47, 2 Tl 3.65
Tl (0.7500, 0.5931, 0.0811)  1 Tl 3.29, 4 Sn 3.37-3.48, 1 Sb 3.59
Tl (0.2500, 0.4069, 0.9189)  1 Tl 3.29, 4 Sn 3.37-3.48, 1 Sb 3.59
Tl (0.7500, 0.9189, 0.4069)  1 Tl 3.29, 4 Sn 3.37-3.48, 1 Sb 3.59
Tl (0.2500, 0.0811, 0.5931)  1 Tl 3.29, 4 Sn 3.37-3.48, 1 Sb 3.59
Sn (0.0000, 0.2928, 0.2928)  2 Sb 3.10, 2 Sn 3.28, 4 Tl 3.37-3.47
Sn (0.5000, 0.7072, 0.7072)  2 Sb 3.10, 2 Sn 3.28, 4 Tl 3.37-3.47
Sn (0.0000, 0.7072, 0.7072)  2 Sb 3.10, 2 Sn 3.28, 4 Tl 3.37-3.47
Sn (0.5000, 0.2928, 0.2928)  2 Sb 3.10, 2 Sn 3.28, 4 Tl 3.37-3.47
Sb (0.7500, 0.3586, 0.6414)  4 Sn 3.10, 1 Tl 3.28
Sb (0.2500, 0.6414, 0.3586)  4 Sn 3.10, 1 Tl 3.28

=====

A plane-wave DFT calculation with GGA-PBE was carried out for crystalline TlSnSb2 at its relaxed geometry.

Values from the calculation:
- SG = No. 166
- crystal system = trigonal
- formation energy (no corrections) (meV/atom) = 77
- volume (Å³/cell) = 121

Cell: 4.3408 4.3408 7.8560 Å, 73.96 73.96 60.00°
Last column: nearest neighbours and their distance in Å.
Positions (direct):
Sb (0.2554, 0.2554, 0.2338)  3 Sn 3.05, 3 Tl 3.20
Sb (0.7446, 0.7446, 0.7662)  3 Sn 3.05, 3 Tl 3.20
Tl (0.5000, 0.5000, 0.5000)  6 Sb 3.20
Sn (0.0000, 0.0000, 0.0000)  6 Sb 3.05

=====

| no. | D(E_F) (states/eV per cell) |
| --- | --- |
| 1 | 6.8 |
| 2 | 2.5 |